(1)
CdSb2Au after structural relaxation. Source: the Alexandria database, functional GGA-PBEsol.

Its total DFT energy (no corrections) is -0.2521 Ry/atom. Its total moment is 0.0 μB/f.u.

The structure belongs to space group I-42d (No. 122); the cell edges are 5.079, 5.079 and 16.778 Å and the angles 90.00°, 90.00° and 90.00°. The inequivalent atoms are Cd at (0.000, 0.000, 0.000), Sb at (0.221, 0.250, 0.625) and Au at (0.000, 0.000, 0.500).

---

(2)
CdSbAu2 after structural relaxation. Source: the Alexandria database, functional GGA-PBEsol.

For the excess energy over the best structure of this formula in the dataset, the calculation gives 0 meV per atom. Its total moment is 0.0 μB/f.u.

The structure belongs to space group Pm (No. 6); the cell edges are 3.688, 4.215 and 5.576 Å and the angles 90.00°, 108.60° and 90.00°. The inequivalent atoms are Cd at (0.000, 0.000, 0.000), Sb at (0.708, 0.500, 0.419), Au at (0.264, 0.000, 0.536) and Au at (0.452, 0.500, 0.898).

---

(3)
CdSbAu2 after structural relaxation. Source: the Alexandria database, functional GGA-PBEsol.

For the excess energy over the best structure of this formula in the dataset, the calculation gives 68 meV per atom. Its total moment is 0.0 μB/f.u.

The structure belongs to space group C2/m (No. 12); the cell edges are 8.351, 3.371 and 6.032 Å and the angles 90.00°, 102.82° and 90.00°. The inequivalent atoms are Cd at (0.000, 0.000, 0.000), Sb at (0.000, 0.500, 0.500) and Au at (0.248, 0.500, 0.239).

---

(4)
CdSb2Au after structural relaxation. Source: the Alexandria database, functional GGA-PBEsol.

Its total DFT energy (no corrections) is -0.2618 Ry/atom. Its total moment is 0.0 μB/f.u.

The structure belongs to space group C2/m (No. 12); the cell edges are 7.042, 4.043 and 7.206 Å and the angles 90.00°, 108.51° and 90.00°. The inequivalent atoms are Cd at (0.000, 0.000, 0.000), Sb at (0.240, 0.000, 0.720) and Au at (0.000, 0.500, 0.500).

---

(5)
Cd2SbAu2 after structural relaxation. Source: the Alexandria database, functional GGA-PBEsol.

Its total DFT energy (no corrections) is -0.2241 Ry/atom. Its total moment is 0.0 μB/f.u.

The structure belongs to space group P4/mbm (No. 127); the cell edges are 8.067, 8.067 and 3.117 Å and the angles 90.00°, 90.00° and 90.00°. The inequivalent atoms are Cd at (0.131, 0.369, 0.000), Sb at (0.000, 0.000, 0.500) and Au at (0.167, 0.667, 0.500).

---

(6)
CdSb2Au after structural relaxation. Source: the Alexandria database, functional GGA-PBEsol.

Its total DFT energy (no corrections) is -0.2500 Ry/atom. Its total moment is 0.0 μB/f.u.

The structure belongs to space group I4/mmm (No. 139); the cell edges are 4.622, 4.622 and 8.480 Å and the angles 90.00°, 90.00° and 90.00°. The inequivalent atoms are Cd at (0.000, 0.000, 0.000), Sb at (0.000, 0.500, 0.250) and Au at (0.000, 0.000, 0.500).

---

(7)
CdSbAu2 after structural relaxation. Source: the Alexandria database, functional GGA-PBEsol.

For the excess energy over the best structure of this formula in the dataset, the calculation gives 136 meV per atom. Its total moment is 0.0 μB/f.u.

The structure belongs to space group P4mm (No. 99); the cell edges are 3.258, 3.258 and 7.681 Å and the angles 90.00°, 90.00° and 90.00°. The inequivalent atoms are Cd at (0.000, 0.000, 0.000), Sb at (0.500, 0.500, 0.318), Au at (0.000, 0.000, 0.560) and Au at (0.500, 0.500, 0.783).

---

(8)
CdSb3Au after structural relaxation. Source: the Alexandria database, functional GGA-PBEsol.

Its total DFT energy (no corrections) is -0.2001 Ry/atom. Its total moment is 0.0 μB/f.u.

The structure belongs to space group Pm-3m (No. 221); the cell edges are 5.350, 5.350 and 5.350 Å and the angles 90.00°, 90.00° and 90.00°. The inequivalent atoms are Cd at (0.000, 0.000, 0.000), Sb at (0.000, 0.000, 0.500) and Au at (0.500, 0.500, 0.500).

---

Question: Which value of total moment does entry 5 give?
Answer: 0.0 μB/f.u.